Material: Na2CaEu
Method: DFT, PBE-GGA
State: relaxed

POSCAR file:
```
Na2CaEu
1.0
6.067 0.000 0.000
0.000 6.067 0.000
0.000 0.000 4.262
Na Ca Eu
2 1 1
Cartesian
0.000 3.034 0.000 Na
3.034 0.000 0.000 Na
0.000 0.000 2.131 Ca
3.034 3.034 2.131 Eu
```

- formation enthalpy at 0 K (meV per atom) = 1580
- space group = P4/mmm (123)

***

Material: La3DyY
Method: DFT, PBE-GGA
State: relaxed

POSCAR file:
```
La3DyY
1.0
7.828 -6.818 0.000
7.828 6.818 0.000
-1.730 0.000 6.506
La Dy Y
12 4 4
Cartesian
5.354 4.277 3.698 La
3.254 2.556 5.530 La
4.133 0.878 2.285 La
7.707 4.277 6.061 La
3.268 -0.878 5.538 La
4.119 -2.556 2.277 La
9.808 2.556 4.230 La
10.659 0.878 0.968 La
6.219 -4.277 0.445 La
9.794 -0.878 4.221 La
10.673 -2.556 0.976 La
8.573 -4.277 2.808 La
7.396 2.596 1.627 Dy
6.531 0.885 4.880 Dy
7.396 -0.885 1.627 Dy
6.531 -2.596 4.880 Dy
-0.055 0.938 6.094 Y
0.810 -0.938 2.841 Y
13.117 0.938 3.666 Y
13.982 -0.938 0.413 Y
```

- formation enthalpy at 0 K (meV per atom) = 52
- space group = C2/c (15)

***

no.,polymorph energy (0 for the lowest one) (eV per formula unit),V (A^3/atom)
1,5.94,39.2
2,0.00,34.7